A plane-wave DFT calculation with PBE was carried out for a relaxed structure of Y8SbPb5.

```
data_Y8SbPb5
_cell_length_a 9.3758
_cell_length_b 9.3758
_cell_length_c 9.3882
_cell_angle_alpha 90.00
_cell_angle_beta 90.00
_cell_angle_gamma 90.00
_space_group_name_H-M_alt 'I -4'
_space_group_IT_number 82
loop_
_space_group_symop_operation_xyz
'x,y,z'
'y,-x,-z'
'-x,-y,z'
'-y,x,-z'
'x+1/2,y+1/2,z+1/2'
'y+1/2,-x+1/2,-z+1/2'
'-x+1/2,-y+1/2,z+1/2'
'-y+1/2,x+1/2,-z+1/2'
loop_
_atom_site_label
_atom_site_type_symbol
_atom_site_fract_x
_atom_site_fract_y
_atom_site_fract_z
Y1 Y 0.0714 0.1789 0.1968
Y2 Y 0.0706 0.3188 0.5543
Sb1 Sb 0.0000 0.0000 0.5000
Pb1 Pb 0.0000 0.5000 0.2500
Pb2 Pb 0.1247 0.2500 0.8754
```

**Energy relative to the elements, uncorrected**: -0.65 eV/atom
**Total energy**: -5.9660 eV/atom
**Magnetic moment**: 0.0 μB/f.u.
**N(E_F)**: 17.084 states/eV/cell


A plane-wave DFT calculation with PBE was carried out for a relaxed structure of YSb2Pb2.

```
data_YSb2Pb2
_cell_length_a 4.3370
_cell_length_b 4.3370
_cell_length_c 16.7945
_cell_angle_alpha 90.00
_cell_angle_beta 90.00
_cell_angle_gamma 90.00
_space_group_name_H-M_alt 'I 4/m m m'
_space_group_IT_number 139
_space_group_name_Hall '-I 4 2'
loop_
_atom_site_label
_atom_site_type_symbol
_atom_site_fract_x
_atom_site_fract_y
_atom_site_fract_z
Y1 Y 0.0000 0.0000 0.0000
Sb1 Sb 0.0000 0.5000 0.2500
Pb1 Pb 0.0000 0.0000 0.4082
```

**Energy relative to the elements, uncorrected**: 0.06 eV/atom
**Total energy**: -4.3629 eV/atom
**Magnetic moment**: 0.0 μB/f.u.
**N(E_F)**: 6.768 states/eV/cell


A plane-wave DFT calculation with PBE was carried out for a relaxed structure of Y2SbPb.

```
data_Y2SbPb
_cell_length_a 4.2507
_cell_length_b 4.2507
_cell_length_c 23.4021
_cell_angle_alpha 90.00
_cell_angle_beta 90.00
_cell_angle_gamma 120.00
_space_group_name_H-M_alt 'R -3 m'
_space_group_IT_number 166
_space_group_name_Hall '-R 3 2"'
loop_
_atom_site_label
_atom_site_type_symbol
_atom_site_fract_x
_atom_site_fract_y
_atom_site_fract_z
Y1 Y 0.0000 0.0000 0.2451
Sb1 Sb 0.0000 0.0000 0.5000
Pb1 Pb 0.0000 0.0000 0.0000
```

**Energy relative to the elements, uncorrected**: -0.79 eV/atom
**Total energy**: -5.9749 eV/atom
**Magnetic moment**: 0.0 μB/f.u.
**Offset from the most stable computed form**: 0.0570 eV/atom
**N(E_F)**: 2.466 states/eV/cell


A plane-wave DFT calculation with PBE was carried out for a relaxed structure of YSbPb2.

```
data_YSbPb2
_cell_length_a 3.4523
_cell_length_b 6.1432
_cell_length_c 5.5794
_cell_angle_alpha 90.00
_cell_angle_beta 90.18
_cell_angle_gamma 90.00
_space_group_name_H-M_alt 'P 1 2/m 1'
_space_group_IT_number 10
loop_
_space_group_symop_operation_xyz
'x,y,z'
'-x,-y,-z'
'-x,y,-z'
'x,-y,z'
loop_
_atom_site_label
_atom_site_type_symbol
_atom_site_fract_x
_atom_site_fract_y
_atom_site_fract_z
Y1 Y 0.0000 0.0000 0.0000
Sb1 Sb 0.5000 0.0000 0.5000
Pb1 Pb 0.2752 0.5000 0.2451
```

**Energy relative to the elements, uncorrected**: -0.23 eV/atom
**Total energy**: -4.7319 eV/atom
**Magnetic moment**: 0.0 μB/f.u.
**N(E_F)**: 2.736 states/eV/cell


A plane-wave DFT calculation with PBE was carried out for a relaxed structure of YSb2Pb.

```
data_YSb2Pb
_cell_length_a 4.1724
_cell_length_b 4.1668
_cell_length_c 6.5312
_cell_angle_alpha 90.00
_cell_angle_beta 90.08
_cell_angle_gamma 90.00
_space_group_name_H-M_alt 'P 1 2/m 1'
_space_group_IT_number 10
loop_
_space_group_symop_operation_xyz
'x,y,z'
'-x,-y,-z'
'-x,y,-z'
'x,-y,z'
loop_
_atom_site_label
_atom_site_type_symbol
_atom_site_fract_x
_atom_site_fract_y
_atom_site_fract_z
Y1 Y 0.0000 0.0000 0.0000
Sb1 Sb 0.5001 0.5000 0.2326
Pb1 Pb 0.0000 0.0000 0.5000
```

**Energy relative to the elements, uncorrected**: -0.47 eV/atom
**Total energy**: -5.0718 eV/atom
**Magnetic moment**: 0.0 μB/f.u.
**N(E_F)**: 2.125 states/eV/cell


A plane-wave DFT calculation with PBE was carried out for a relaxed structure of YSbPb.

```
data_YSbPb
_cell_length_a 4.0393
_cell_length_b 4.0393
_cell_length_c 10.5287
_cell_angle_alpha 90.00
_cell_angle_beta 90.00
_cell_angle_gamma 90.00
_space_group_name_H-M_alt 'I 4 m m'
_space_group_IT_number 107
_space_group_name_Hall 'I 4 -2'
loop_
_atom_site_label
_atom_site_type_symbol
_atom_site_fract_x
_atom_site_fract_y
_atom_site_fract_z
Y1 Y 0.0000 0.0000 0.0000
Sb1 Sb 0.0000 0.0000 0.6312
Pb1 Pb 0.0000 0.0000 0.3239
```

**Energy relative to the elements, uncorrected**: -0.47 eV/atom
**Total energy**: -5.2389 eV/atom
**Magnetic moment**: 0.0 μB/f.u.
**Offset from the most stable computed form**: 0.0126 eV/atom
**N(E_F)**: 3.997 states/eV/cell


A plane-wave DFT calculation with PBE was carried out for a relaxed structure of YSbPb2.

```
data_YSbPb2
_cell_length_a 3.5678
_cell_length_b 3.5678
_cell_length_c 9.3330
_cell_angle_alpha 90.00
_cell_angle_beta 90.00
_cell_angle_gamma 90.00
_space_group_name_H-M_alt 'P 4 m m'
_space_group_IT_number 99
loop_
_space_group_symop_operation_xyz
'x,y,z'
'-y,x,z'
'-x,-y,z'
'y,-x,z'
'-x,y,z'
'y,x,z'
'x,-y,z'
'-y,-x,z'
loop_
_atom_site_label
_atom_site_type_symbol
_atom_site_fract_x
_atom_site_fract_y
_atom_site_fract_z
Y1 Y 0.0000 0.0000 0.0000
Sb1 Sb 0.5000 0.5000 0.7827
Pb1 Pb 0.0000 0.0000 0.5096
Pb2 Pb 0.5000 0.5000 0.2508
```

**Energy relative to the elements, uncorrected**: -0.24 eV/atom
**Total energy**: -4.7375 eV/atom
**Magnetic moment**: 0.0 μB/f.u.
**N(E_F)**: 3.662 states/eV/cell


A plane-wave DFT calculation with PBE was carried out for a relaxed structure of Y2SbPb.

```
data_Y2SbPb
_cell_length_a 3.7662
_cell_length_b 4.0852
_cell_length_c 7.6129
_cell_angle_alpha 90.00
_cell_angle_beta 102.22
_cell_angle_gamma 90.00
_space_group_name_H-M_alt 'P 1 2/m 1'
_space_group_IT_number 10
loop_
_space_group_symop_operation_xyz
'x,y,z'
'-x,-y,-z'
'-x,y,-z'
'x,-y,z'
loop_
_atom_site_label
_atom_site_type_symbol
_atom_site_fract_x
_atom_site_fract_y
_atom_site_fract_z
Y1 Y 0.0208 0.0000 0.2597
Sb1 Sb 0.5000 0.5000 0.5000
Pb1 Pb 0.5000 0.5000 0.0000
```

**Energy relative to the elements, uncorrected**: -0.67 eV/atom
**Total energy**: -5.8567 eV/atom
**Magnetic moment**: 0.0 μB/f.u.
**Offset from the most stable computed form**: 0.1752 eV/atom
**N(E_F)**: 2.562 states/eV/cell


A plane-wave DFT calculation with PBE was carried out for a relaxed structure of Y7Sb2Pb2.

```
data_Y7Sb2Pb2
_cell_length_a 9.0014
_cell_length_b 11.0464
_cell_length_c 7.1764
_cell_angle_alpha 90.00
_cell_angle_beta 90.00
_cell_angle_gamma 90.00
_space_group_name_H-M_alt 'C m m m'
_space_group_IT_number 65
_space_group_name_Hall '-C 2 2'
loop_
_atom_site_label
_atom_site_type_symbol
_atom_site_fract_x
_atom_site_fract_y
_atom_site_fract_z
Y1 Y 0.0000 0.0000 0.0000
Y2 Y 0.0000 0.5000 0.2602
Y3 Y 0.2500 0.2500 0.2719
Sb1 Sb 0.0000 0.2769 0.0000
Pb1 Pb 0.1855 0.0000 0.5000
```

**Energy relative to the elements, uncorrected**: -0.38 eV/atom
**Total energy**: -5.9139 eV/atom
**Magnetic moment**: 1.9 μB/f.u.
**N(E_F)**: 26.849 states/eV/cell


A plane-wave DFT calculation with PBE was carried out for a relaxed structure of YSb2Pb.

```
data_YSb2Pb
_cell_length_a 4.5495
_cell_length_b 4.5495
_cell_length_c 21.9723
_cell_angle_alpha 90.00
_cell_angle_beta 90.00
_cell_angle_gamma 120.00
_space_group_name_H-M_alt 'R 3 m'
_space_group_IT_number 160
_space_group_name_Hall 'R 3 -2"'
loop_
_atom_site_label
_atom_site_type_symbol
_atom_site_fract_x
_atom_site_fract_y
_atom_site_fract_z
Y1 Y 0.0000 0.0000 0.0000
Sb1 Sb 0.0000 0.0000 0.4095
Sb2 Sb 0.0000 0.0000 0.5913
Pb1 Pb 0.0000 0.0000 0.1702
```

**Energy relative to the elements, uncorrected**: -0.41 eV/atom
**Total energy**: -5.0108 eV/atom
**Magnetic moment**: 0.0 μB/f.u.
**N(E_F)**: 8.113 states/eV/cell


A plane-wave DFT calculation with PBE was carried out for a relaxed structure of YSbPb2.

```
data_YSbPb2
_cell_length_a 4.6301
_cell_length_b 4.6301
_cell_length_c 10.7378
_cell_angle_alpha 90.00
_cell_angle_beta 90.00
_cell_angle_gamma 90.00
_space_group_name_H-M_alt 'I -4 m 2'
_space_group_IT_number 119
_space_group_name_Hall 'I -4 -2'
loop_
_atom_site_label
_atom_site_type_symbol
_atom_site_fract_x
_atom_site_fract_y
_atom_site_fract_z
Y1 Y 0.0000 0.0000 0.0000
Sb1 Sb 0.0000 0.5000 0.2500
Pb1 Pb 0.0000 0.0000 0.5000
Pb2 Pb 0.0000 0.5000 0.7500
```

**Energy relative to the elements, uncorrected**: -0.32 eV/atom
**Total energy**: -4.8256 eV/atom
**Magnetic moment**: 0.0 μB/f.u.
**N(E_F)**: 3.961 states/eV/cell


A plane-wave DFT calculation with PBE was carried out for a relaxed structure of YSbPb2.

```
data_YSbPb2
_cell_length_a 4.5579
_cell_length_b 4.6676
_cell_length_c 5.4154
_cell_angle_alpha 90.00
_cell_angle_beta 90.00
_cell_angle_gamma 90.00
_space_group_name_H-M_alt 'P m m m'
_space_group_IT_number 47
loop_
_space_group_symop_operation_xyz
'x,y,z'
'-x,-y,-z'
'-x,-y,z'
'x,y,-z'
'x,-y,-z'
'-x,y,z'
'-x,y,-z'
'x,-y,z'
loop_
_atom_site_label
_atom_site_type_symbol
_atom_site_fract_x
_atom_site_fract_y
_atom_site_fract_z
Y1 Y 0.0000 0.0000 0.0000
Sb1 Sb 0.5000 0.5000 0.0000
Pb1 Pb 0.0000 0.5000 0.5000
Pb2 Pb 0.5000 0.0000 0.5000
```

**Energy relative to the elements, uncorrected**: -0.35 eV/atom
**Total energy**: -4.8499 eV/atom
**Magnetic moment**: 0.0 μB/f.u.
**N(E_F)**: 2.644 states/eV/cell


A plane-wave DFT calculation with PBE was carried out for a relaxed structure of YSbPb2.

```
data_YSbPb2
_cell_length_a 4.2197
_cell_length_b 4.2879
_cell_length_c 6.7557
_cell_angle_alpha 90.00
_cell_angle_beta 90.06
_cell_angle_gamma 90.00
_space_group_name_H-M_alt 'P 1 m 1'
_space_group_IT_number 6
loop_
_space_group_symop_operation_xyz
'x,y,z'
'x,-y,z'
loop_
_atom_site_label
_atom_site_type_symbol
_atom_site_fract_x
_atom_site_fract_y
_atom_site_fract_z
Y1 Y 0.0000 0.0000 0.0000
Sb1 Sb 0.5002 0.5000 0.1313
Pb1 Pb 0.0016 0.0000 0.4884
Pb2 Pb 0.5016 0.5000 0.6846
```

**Energy relative to the elements, uncorrected**: -0.39 eV/atom
**Total energy**: -4.8956 eV/atom
**Magnetic moment**: 0.0 μB/f.u.
**N(E_F)**: 2.026 states/eV/cell


A plane-wave DFT calculation with PBE was carried out for a relaxed structure of YSb2Pb.

```
data_YSb2Pb
_cell_length_a 6.9317
_cell_length_b 6.9317
_cell_length_c 14.2450
_cell_angle_alpha 90.00
_cell_angle_beta 90.00
_cell_angle_gamma 90.00
_space_group_name_H-M_alt 'I -4 2 d'
_space_group_IT_number 122
_space_group_name_Hall 'I -4 2bw'
loop_
_atom_site_label
_atom_site_type_symbol
_atom_site_fract_x
_atom_site_fract_y
_atom_site_fract_z
Y1 Y 0.0000 0.0000 0.0000
Sb1 Sb 0.2464 0.2500 0.1250
Pb1 Pb 0.0000 0.0000 0.5000
```

**Energy relative to the elements, uncorrected**: -0.19 eV/atom
**Total energy**: -4.7921 eV/atom
**Magnetic moment**: 0.0 μB/f.u.
**N(E_F)**: 19.155 states/eV/cell


A plane-wave DFT calculation with PBE was carried out for a relaxed structure of YSbPb3.

```
data_YSbPb3
_cell_length_a 5.8043
_cell_length_b 5.8043
_cell_length_c 5.8043
_cell_angle_alpha 90.00
_cell_angle_beta 90.00
_cell_angle_gamma 90.00
_space_group_name_H-M_alt 'P m -3 m'
_space_group_IT_number 221
_space_group_name_Hall '-P 4 2 3'
loop_
_atom_site_label
_atom_site_type_symbol
_atom_site_fract_x
_atom_site_fract_y
_atom_site_fract_z
Y1 Y 0.0000 0.0000 0.0000
Sb1 Sb 0.5000 0.5000 0.5000
Pb1 Pb 0.0000 0.5000 0.5000
```

**Energy relative to the elements, uncorrected**: 0.55 eV/atom
**Total energy**: -3.7954 eV/atom
**Magnetic moment**: 0.0 μB/f.u.
**Offset from the most stable computed form**: 0.0000 eV/atom
**N(E_F)**: 5.057 states/eV/cell